Entry 1:
This record from Alexandria describes a geometry-optimized Pm2NdDy structure. The functional is PBE.

CIF file:
```
data_Pm2NdDy
_chemical_formula_sum 'Pm2 Nd1 Dy1'
_cell_length_a 3.631
_cell_length_b 3.631
_cell_length_c 12.034
_cell_angle_alpha 81.32
_cell_angle_beta 81.32
_cell_angle_gamma 60.00
_space_group_name_H-M_alt 'P 1'
_space_group_IT_number 1
loop_
_space_group_symop_operation_xyz
'x,y,z'
loop_
_atom_site_label
_atom_site_fract_x
_atom_site_fract_y
_atom_site_fract_z
_atom_site_occupancy
Pm1 0.751 0.751 0.746 1
Pm2 0.249 0.249 0.254 1
Nd1 0.000 0.000 0.000 1
Dy1 0.500 0.500 0.500 1
```

Properties
Calculated density (Mg/m³): 7.32
Energy above the most stable polymorph in this dataset (eV per atom): 0.000
Crystal system: trigonal
Total DFT energy (no corrections) (eV/cell): -18.81
DOS(E_F) (states/eV/atom): 1.307
Space group: No. 166

Entry 2:
This record from Alexandria describes a geometry-optimized Cu3PbAu structure. The functional is PBE.

CIF file:
```
data_Cu3PbAu
_chemical_formula_sum 'Cu3 Pb1 Au1'
_cell_length_a 4.803
_cell_length_b 4.803
_cell_length_c 4.803
_cell_angle_alpha 90.00
_cell_angle_beta 90.00
_cell_angle_gamma 90.00
_space_group_name_H-M_alt 'P 1'
_space_group_IT_number 1
loop_
_space_group_symop_operation_xyz
'x,y,z'
loop_
_atom_site_label
_atom_site_fract_x
_atom_site_fract_y
_atom_site_fract_z
_atom_site_occupancy
Pb1 0.500 0.500 0.500 1
Au1 0.000 0.000 0.000 1
Cu1 0.000 0.500 0.000 1
Cu2 0.000 0.000 0.500 1
Cu3 0.500 0.000 0.000 1
```

Properties
Calculated density (Mg/m³): 8.91
Energy above the most stable polymorph in this dataset (eV per atom): 0.000
Crystal system: cubic
Total DFT energy (no corrections) (eV/cell): -16.48
DOS(E_F) (states/eV/atom): 0.390
Space group: No. 221

Entry 3:
This record from Alexandria describes a geometry-optimized YRuPt2 structure. The functional is PBE.

CIF file:
```
data_YRuPt2
_chemical_formula_sum 'Y1 Ru1 Pt2'
_cell_length_a 5.064
_cell_length_b 5.064
_cell_length_c 5.064
_cell_angle_alpha 132.00
_cell_angle_beta 131.96
_cell_angle_gamma 70.26
_space_group_name_H-M_alt 'P 1'
_space_group_IT_number 1
loop_
_space_group_symop_operation_xyz
'x,y,z'
loop_
_atom_site_label
_atom_site_fract_x
_atom_site_fract_y
_atom_site_fract_z
_atom_site_occupancy
Pt1 0.000 0.000 0.000 1
Pt2 0.750 0.250 0.500 1
Ru1 0.500 0.500 0.000 1
Y1 0.250 0.750 0.500 1
```

Properties
Calculated density (Mg/m³): 13.70
Crystal system: tetragonal
Total DFT energy (no corrections) (eV/cell): -29.51
DOS(E_F) (states/eV/atom): 1.454
Space group: No. 119

| no. | energy of formation from the pure elements (eV/atom) |
| --- | --- |
| 1 | 0.01 |
| 2 | 0.56 |
| 3 | -0.42 |